# 1
# Ga2TcGe2

A geometry-optimized Ga2TcGe2 structure (GGA-PBE, the Alexandria database).

ΔH_f (0 K) = 248 meV/atom
Calculated total energy = -4.8830 eV/atom
Density = 7.4 g/cm³
Relative energy among the computed polymorphs = 23.0 kJ per mole of atoms

a = 6.606 Å, b = 6.606 Å, c = 3.918 Å
α = 90.00°, β = 90.00°, γ = 90.00°
Fractional coordinates of all 10 atoms:
1 Ga 0.174 0.326 0.000
2 Ga 0.326 0.826 0.000
3 Ga 0.674 0.174 0.000
4 Ga 0.826 0.674 0.000
5 Tc 0.000 0.000 0.500
6 Tc 0.500 0.500 0.500
7 Ge 0.137 0.637 0.500
8 Ge 0.363 0.137 0.500
9 Ge 0.637 0.863 0.500
10 Ge 0.863 0.363 0.500

=====

# 2
# GaTc2Ge

A geometry-optimized GaTc2Ge structure (GGA-PBE, the Alexandria database).

ΔH_f (0 K) = -38 meV/atom
Calculated total energy = -7.1324 eV/atom
Density = 9.7 g/cm³
Relative energy among the computed polymorphs = 0.0 kJ per mole of atoms

a = 3.060 Å, b = 3.060 Å, c = 6.170 Å
α = 90.00°, β = 90.00°, γ = 90.00°
Fractional coordinates of all 4 atoms:
1 Ga 0.000 0.000 0.000
2 Tc 0.500 0.500 0.260
3 Tc 0.500 0.500 0.740
4 Ge 0.000 0.000 0.500